Here is PrHfGa after structural relaxation from the Open Quantum Materials Database. Energies are from PBE.

It has space group F-43m (No. 216), with a = 6.8407 Å, b = 6.8407 Å, c = 6.8407 Å, α = 90.00°, β = 90.00° and γ = 90.00°. The asymmetric unit holds Pr at (0.0000, 0.0000, 0.0000), Hf at (0.0000, 0.0000, 0.5000) and Ga at (0.2500, 0.2500, 0.7500).

As for the theoretical density: 8.07 g/cm3. The electronic total energy comes out at -5.86 eV per atom. The energy above the most stable polymorph in this dataset is 0.00 eV per formula unit.